1.
Material: LiInSnGe
Method: DFT, PBE-GGA
State: optimized geometry

Cell: 5.0603 5.0603 5.0603 Å, 60.00 60.00 60.00°
Last column: nearest neighbours and their distance in Å.
Element x y z (fractional)
Ge 0.2500 0.2500 0.2500  4 Sn 3.10, 4 In 3.10
In 0.0000 0.0000 0.0000  4 Li 3.10, 4 Ge 3.10
Sn 0.5000 0.5000 0.5000  4 Ge 3.10, 4 Li 3.10
Li 0.7500 0.7500 0.7500  4 In 3.10, 4 Sn 3.10

As for the space-group type: F-43m, No. 216. The calculation puts the density of states at the Fermi level at 0.9 states/eV/f.u. Its final energy is -13.41 eV for the cell shown.

---

2.
Material: Tm2AlPd6
Method: DFT, PBE-GGA
State: optimized geometry

Cell: 3.5346 7.4702 7.7437 Å, 118.84 103.21 90.00°
Last column: nearest neighbours and their distance in Å.
Element x y z (fractional)
Tm 0.6488 0.6520 0.3041  8 Pd 2.82-2.85
Pd 0.1644 0.3681 0.3315  1 Al 2.65, 4 Pd 2.80-2.92, 3 Tm 2.82-2.85
Pd 0.8356 0.6319 0.6685  1 Al 2.65, 4 Pd 2.80-2.92, 3 Tm 2.82-2.85
Pd 0.5000 0.7687 0.0000  2 Al 2.47
Pd 0.5000 0.2313 0.0000  2 Al 2.47
Pd 0.1644 0.9634 0.3315  1 Al 2.65, 4 Pd 2.80-2.92, 3 Tm 2.82-2.85
Pd 0.8356 0.0366 0.6685  1 Al 2.65, 4 Pd 2.80-2.92, 3 Tm 2.82-2.85
Tm 0.3512 0.3480 0.6959  8 Pd 2.82-2.85
Al 0.0000 0.0000 0.0000  8 Pd 2.47-2.65

As for the space-group type: C2/m, No. 12. The calculation puts the density of states at the Fermi level at 3.6 states/eV/f.u. Its final energy is -49.66 eV for the cell shown.